PBE-GGA Sm3Mg2Cd, relaxed; total DFT energy (no corrections) = -19.32 eV for the cell shown; formation energy from the elements = -17.0 kJ/mol of atoms; density = 6.0 g cm⁻³; volume = 169 Å³ per cell
1.0
2.704 -8.136 0.000
2.704 8.136 0.000
0.000 0.000 3.839
Sm Mg Cd
3 2 1
Cartesian
0.000 0.000 0.000
2.704 2.694 0.000
2.704 -2.694 0.000
2.704 5.375 1.920
2.704 -5.375 1.920
2.704 0.000 1.920